Entry 1:
The following is a SCAN calculation of a crystal of LiGaHgRh2 relaxed with PBEsol, from Alexandria via LeMat-Bulk.

total magnetic moment: 0.000 μB per atom
total energy: -151.96 eV/cell
excess energy over the best structure of this formula in the dataset: 0 meV/atom
ΔE_f: 0.496 eV per atom

```
5
Lattice="-0.382 1.938 -4.114 -4.459 -0.972 -0.044 -0.950 4.264 2.097" Properties=species:S:1:pos:R:3 pbc="T T T"
Li -2.895 2.615 -1.031
Hg -0.475 2.132 1.048
Ga 0.000 0.000 0.000
Rh -0.191 0.969 -2.057
Rh -2.229 -0.486 -0.022
```

***

Entry 2:
The following is a SCAN calculation of a crystal of Nb2SbIN relaxed with PBEsol, from Alexandria via LeMat-Bulk.

total magnetic moment: 0.000 μB per atom
total energy: -146.51 eV/cell
ΔE_f (raw): 609 meV/atom

```
5
Lattice="-2.634 -3.399 1.014 -0.846 -0.625 -4.291 3.662 -2.927 -0.296" Properties=species:S:1:pos:R:3 pbc="T T T"
N 0.000 0.000 0.000
Nb -0.423 -0.313 -2.146
Nb -1.317 -1.700 0.507
Sb 1.831 -1.463 -0.148
I 0.091 -3.475 -1.786
```

***

Entry 3:
The following is a SCAN calculation of a crystal of MoIr2IN relaxed with PBEsol, from Alexandria via LeMat-Bulk.

total magnetic moment: 0.000 μB per atom
total energy: -217.73 eV/cell
ΔE_f (raw): 1077 meV/atom

```
5
Lattice="4.175 0.000 0.000 0.000 4.195 0.000 0.000 0.000 4.195" Properties=species:S:1:pos:R:3 pbc="T T T"
I 2.087 2.098 2.098
Ir 0.000 2.098 0.000
Ir 0.000 0.000 2.098
Mo 2.087 0.000 0.000
N 0.000 0.000 0.000
```

***

Entry 4:
The following is a SCAN calculation of a crystal of Li2In2Pd relaxed with PBEsol, from Alexandria via LeMat-Bulk.

total magnetic moment: 0.000 μB per atom
total energy: -104.75 eV/cell
ΔE_f: -0.084 eV per atom

```
5
Lattice="-3.043 -3.819 0.267 1.787 -1.719 -4.215 3.143 0.892 3.806" Properties=species:S:1:pos:R:3 pbc="T T T"
In 2.151 -1.798 -1.192
Li 0.125 -3.330 -1.426
In -0.264 -2.847 1.050
Pd 0.000 0.000 0.000
Li 1.763 -1.315 1.284
```

***

Entry 5:
The following is a SCAN calculation of a crystal of VCoO4 relaxed with PBEsol, from Alexandria via LeMat-Bulk.

total magnetic moment: 0.000 μB per atom
total energy: -144.03 eV/cell
ΔE_f (raw): -2050 meV/atom

```
12
Lattice="-4.744 1.165 -0.046 0.971 -4.099 -2.473 -0.802 -3.075 4.782" Properties=species:S:1:pos:R:3 pbc="T T T"
O -0.738 -4.524 0.581
V -2.930 -1.458 0.294
O -1.100 -5.913 2.740
O -3.419 -4.657 1.603
O -3.205 -2.946 -0.709
O -3.475 -0.096 -0.477
O -1.369 -3.063 2.972
V -1.644 -4.551 1.968
O -3.836 -1.485 1.682
Co -0.401 -1.538 2.391
Co 0.000 0.000 0.000
O -1.155 -1.352 0.660
```

***

Entry 6:
The following is a SCAN calculation of a crystal of RbTaPb3 relaxed with PBEsol, from Alexandria via LeMat-Bulk.

total magnetic moment: 0.000 μB per atom
total energy: -314.47 eV/cell
ΔE_f: 0.039 eV per atom

```
5
Lattice="-5.466 0.389 -0.570 -0.577 -5.069 2.081 -0.378 2.124 5.070" Properties=species:S:1:pos:R:3 pbc="T T T"
Rb -3.211 -1.278 3.290
Ta 0.000 0.000 0.000
Pb -2.733 0.194 -0.285
Pb -0.189 1.062 2.535
Pb -0.289 -2.534 1.040
```

***

Entry 7:
The following is a SCAN calculation of a crystal of K3NiO2 relaxed with PBEsol, from Alexandria via LeMat-Bulk.

total magnetic moment: 0.167 μB per atom
total energy: -243.46 eV/cell
ΔE_f (raw): -1207 meV/atom

```
24
Lattice="5.974 0.000 0.000 0.000 5.974 0.000 0.000 0.000 13.685" Properties=species:S:1:pos:R:3 pbc="T T T"
K 5.812 3.149 8.545
K 3.149 5.812 5.141
Ni 2.961 2.961 0.000
Ni 0.026 5.948 3.421
K 0.162 2.825 1.702
O 1.273 1.186 3.610
K 2.825 5.812 1.719
O 4.701 4.788 10.452
K 5.603 5.603 0.000
O 1.801 4.260 7.031
K 0.162 3.149 5.123
O 1.186 1.273 10.076
K 5.812 2.825 11.966
K 0.371 0.371 6.843
K 3.149 0.162 8.562
O 4.260 1.801 6.654
O 4.172 1.714 0.188
O 4.788 4.701 3.233
O 1.714 4.172 13.497
K 3.358 2.616 3.421
Ni 5.948 0.026 10.264
K 2.825 0.162 11.983
K 2.616 3.358 10.264
Ni 3.013 3.013 6.843
```

***

Entry 8:
The following is a SCAN calculation of a crystal of TlAgNO2 relaxed with PBEsol, from Alexandria via LeMat-Bulk.

total magnetic moment: 0.522 μB per atom
total energy: -120.58 eV/cell
ΔE_f (raw): 979 meV/atom

```
5
Lattice="4.236 0.000 0.000 0.000 4.236 0.000 0.000 0.000 4.317" Properties=species:S:1:pos:R:3 pbc="T T T"
N 0.000 0.000 2.158
O 0.000 2.118 0.000
Ag 2.118 2.118 2.158
O 2.118 0.000 0.000
Tl 0.000 0.000 0.000
```